Record 1
Density functional theory data (PBE-GGA) for a relaxed structure of CsUTl2I6.

abc: 8.401 9.847 12.437
angles: 90.00 86.91 90.00
Atoms (fractional coordinates):
Cs 0.500 0.000 0.000
Cs 0.000 0.500 0.500
U 0.500 0.000 0.500
U 0.000 0.500 0.000
Tl 0.015 0.934 0.290
Tl 0.515 0.566 0.790
Tl 0.985 0.066 0.710
Tl 0.485 0.434 0.210
I 0.317 0.657 0.033
I 0.817 0.843 0.533
I 0.683 0.343 0.967
I 0.183 0.157 0.467
I 0.348 0.750 0.385
I 0.848 0.750 0.885
I 0.652 0.250 0.615
I 0.152 0.250 0.115
I 0.851 0.608 0.221
I 0.351 0.892 0.721
I 0.149 0.392 0.779
I 0.649 0.108 0.279

Properties
DOS at the Fermi energy ... 0.007 states/eV per atom
DFT total energy ... -3.519 eV per atom
Volume ... 51.37 Å³ per atom
Energy relative to the elements, uncorrected ... -0.901 eV per atom
Space-group type ... P2_1/c (14)

---

Record 2
Density functional theory data (PBE-GGA) for a relaxed structure of Cs3Tl3VI8.

abc: 10.583 10.581 10.123
angles: 121.51 90.00 120.01
Atoms (fractional coordinates):
Cs 0.500 0.000 0.500
Cs 0.500 0.500 0.500
Cs 0.000 0.500 0.500
Tl 0.000 0.000 0.000
Tl 0.000 0.500 0.000
Tl 0.500 0.500 0.000
V 0.000 0.000 0.500
I 0.241 0.482 0.223
I 0.759 0.518 0.777
I 0.800 0.601 0.287
I 0.200 0.399 0.713
I 0.801 0.986 0.287
I 0.199 0.014 0.713
I 0.186 0.986 0.287
I 0.814 0.014 0.713

Properties
DFT total energy ... -3.019 eV per atom
Volume ... 52.18 Å³ per atom
Energy relative to the elements, uncorrected ... -0.941 eV per atom
Space-group type ... R-3m (166)

---

Record 3
Density functional theory data (PBE-GGA) for a relaxed structure of CsTl2VI6.

abc: 8.518 8.518 9.012
angles: 61.79 61.79 59.99
Atoms (fractional coordinates):
Cs 0.818 0.818 0.547
Tl 0.524 0.523 0.430
Tl 0.004 0.004 0.987
V 0.329 0.329 0.013
I 0.532 0.256 0.222
I 0.256 0.990 0.222
I 0.990 0.532 0.222
I 0.385 0.675 0.791
I 0.675 0.149 0.791
I 0.149 0.385 0.791

Properties
DOS at the Fermi energy ... 0.920 states/eV per atom
DFT total energy ... -3.114 eV per atom
Volume ... 47.45 Å³ per atom
Energy relative to the elements, uncorrected ... -0.713 eV per atom
Space-group type ... R3 (146)

---

Record 4
Density functional theory data (PBE-GGA) for a relaxed structure of CsTl2WI8.

abc: 7.074 8.449 10.543
angles: 89.93 90.02 117.76
Atoms (fractional coordinates):
Cs 0.000 0.000 0.500
Tl 0.501 0.500 0.734
Tl 0.499 0.500 0.266
W 0.000 0.000 0.000
I 0.028 0.778 0.183
I 0.568 0.799 0.999
I 0.970 0.221 0.183
I 0.972 0.222 0.817
I 0.432 0.201 0.001
I 0.030 0.779 0.817
I 0.383 0.696 0.501
I 0.617 0.304 0.499

Properties
DOS at the Fermi energy ... 0.426 states/eV per atom
DFT total energy ... -3.054 eV per atom
Volume ... 46.47 Å³ per atom
Energy relative to the elements, uncorrected ... -0.476 eV per atom
Space-group type ... P-1 (2)

---

Record 5
Density functional theory data (PBE-GGA) for a relaxed structure of CsZrTl2I8.

abc: 8.057 6.896 11.036
angles: 89.75 90.07 90.76
Atoms (fractional coordinates):
Cs 0.000 0.000 0.500
Zr 0.000 0.000 0.000
Tl 0.500 0.498 0.780
Tl 0.500 0.502 0.220
I 0.128 0.755 0.189
I 0.691 0.783 0.998
I 0.868 0.242 0.187
I 0.872 0.245 0.811
I 0.309 0.217 0.002
I 0.132 0.758 0.813
I 0.508 0.755 0.500
I 0.492 0.245 0.500

Properties
DOS at the Fermi energy ... 0.160 states/eV per atom
DFT total energy ... -3.032 eV per atom
Volume ... 51.09 Å³ per atom
Energy relative to the elements, uncorrected ... -0.820 eV per atom
Space-group type ... P-1 (2)

---

Record 6
Density functional theory data (PBE-GGA) for a relaxed structure of Cs2TmI5.

abc: 9.046 9.046 8.426
angles: 122.47 122.47 90.00
Atoms (fractional coordinates):
Cs 0.260 0.760 0.520
Cs 0.760 0.260 0.520
Tm 0.969 0.969 0.937
I 0.791 0.247 0.038
I 0.247 0.247 0.038
I 0.791 0.791 0.038
I 0.247 0.791 0.038
I 0.713 0.713 0.426

Properties
DOS at the Fermi energy ... 0.000 states/eV per atom
DFT total energy ... -3.193 eV per atom
Volume ... 56.10 Å³ per atom
Energy relative to the elements, uncorrected ... -1.452 eV per atom
Space-group type ... I4mm (107)

---

Question: Which value of energy relative to the elements, uncorrected does entry 4 give?
Answer: -0.476 eV per atom

---

Question: Number 1 is which compound?
Answer: CsUTl2I6

---

Question: Number 2 is which compound?
Answer: Cs3Tl3VI8